[1]
A relaxed structure of CsAg2P. Source: Alexandria, functional PBE.

Computed properties:
Its crystal system is tetragonal. For the total magnetization, the calculation gives 0.00 μB/f.u. As for the density: 4.58 g cm⁻³. The energy of formation is -0.187 eV/atom.

Cell: 6.092 6.092 14.825 Å, 90.00 90.00 90.00°
Space group I4_1/amd (No. 141, origin choice 2)
Symmetry-distinct sites (fractional):
Cs 0.000 0.250 0.375 [4 per cell]
Ag 0.000 0.000 0.000 [8 per cell]
P 0.000 0.250 0.875 [4 per cell]



[2]
A relaxed structure of Rb2AgTe2H. Source: Alexandria, functional PBE.

Computed properties:
Its crystal system is orthorhombic. The total energy comes out at -2.649 eV/atom. For the total magnetization, the calculation gives 0.00 μB/f.u. As for the density: 4.69 g cm⁻³.

Cell: 7.196 15.321 6.868 Å, 90.00 90.00 90.00°
Space group Ibam (No. 72)
Symmetry-distinct sites (fractional):
Rb 0.235 0.159 0.000 [8 per cell]
Ag 0.000 0.500 0.250 [4 per cell]
Te 0.230 0.087 0.500 [8 per cell]
H 0.000 0.000 0.250 [4 per cell]



[3]
A relaxed structure of Tm2Ag2Pd3. Source: Alexandria, functional PBE.

Computed properties:
Its crystal system is monoclinic. For the total magnetization, the calculation gives 0.00 μB/f.u. As for the density: 10.99 g cm⁻³. The energy of formation is -0.661 eV/atom.

Cell: 9.440 4.163 6.763 Å, 90.00 97.06 90.00°
Space group C2/m (No. 12)
Symmetry-distinct sites (fractional):
Tm 0.080 0.000 0.253 [4 per cell]
Ag 0.142 0.500 0.925 [4 per cell]
Pd 0.000 0.500 0.500 [2 per cell]
Pd 0.214 0.000 0.647 [4 per cell]



[4]
A relaxed structure of Sm6Ho12Sc. Source: Alexandria, functional PBE.

Computed properties:
Its crystal system is trigonal. For the total magnetization, the calculation gives 0.00 μB/f.u. As for the density: 7.94 g cm⁻³. The energy of formation is 0.153 eV/atom.

Cell: 11.8756 11.8756 15.0370 Å, 90.00 90.00 120.00°
Space group R-3 (No. 148, hexagonal axes)
Symmetry-distinct sites (fractional):
Sm 0.0135 0.4236 0.1802 [18 per cell]
Ho 0.0119 0.8357 0.6894 [18 per cell]
Ho 0.0461 0.8551 0.9147 [18 per cell]
Sc 0.0000 0.0000 0.5000 [3 per cell]



Number 1: calculated volume 34.388 Å³ per atom. Number 2: calculated volume 31.549 Å³ per atom. Number 3: calculated volume 18.841 Å³ per atom. Number 4: calculated volume 32.220 Å³ per atom.